The following is a PBE-GGA calculation of a geometry-optimized SrInH2Pd structure, from Alexandria via LeMat-Bulk.

CIF file:
```
data_SrInH2Pd
_space_group_name_H-M_alt 'P 4/m m m'
_space_group_IT_number 123
_space_group_name_Hall '-P 4 2'
_cell_length_a 4.126
_cell_length_b 4.126
_cell_length_c 7.403
_cell_angle_alpha 90.00
_cell_angle_beta 90.00
_cell_angle_gamma 90.00
loop_
_atom_site_label
_atom_site_type_symbol
_atom_site_fract_x
_atom_site_fract_y
_atom_site_fract_z
Sr1 Sr 0.000 0.000 0.000
In1 In 0.000 0.000 0.500
H1 H 0.000 0.500 0.000
Pd1 Pd 0.500 0.500 0.500
```

Calculated values
Crystal system: tetragonal
Size of the total moment, μB per atom: 0.00
Total DFT energy (no corrections), eV per atom: -2.9984

---

The following is a PBE-GGA calculation of a geometry-optimized AgTe2Ru structure, from Alexandria via LeMat-Bulk.

CIF file:
```
data_AgTe2Ru
_space_group_name_H-M_alt 'R -3 m'
_space_group_IT_number 166
_space_group_name_Hall '-R 3 2"'
_cell_length_a 3.8959
_cell_length_b 3.8959
_cell_length_c 24.6677
_cell_angle_alpha 90.00
_cell_angle_beta 90.00
_cell_angle_gamma 120.00
loop_
_atom_site_label
_atom_site_type_symbol
_atom_site_fract_x
_atom_site_fract_y
_atom_site_fract_z
Ag1 Ag 0.0000 0.0000 0.0000
Te1 Te 0.0000 0.0000 0.1092
Ru1 Ru 0.0000 0.0000 0.5000
```

Calculated values
Crystal system: trigonal
Size of the total moment, μB per atom: 0.00
Polymorph energy (0 for the lowest one), meV per atom: 0
ΔE_f (raw), eV per atom: 0.0063
Total DFT energy (no corrections), eV per atom: -4.5963

---

The following is a PBE-GGA calculation of a geometry-optimized Na3AlIn structure, from Alexandria via LeMat-Bulk.

CIF file:
```
data_Na3AlIn
_space_group_name_H-M_alt 'P m -3 m'
_space_group_IT_number 221
_space_group_name_Hall '-P 4 2 3'
_cell_length_a 5.736
_cell_length_b 5.736
_cell_length_c 5.736
_cell_angle_alpha 90.00
_cell_angle_beta 90.00
_cell_angle_gamma 90.00
loop_
_atom_site_label
_atom_site_type_symbol
_atom_site_fract_x
_atom_site_fract_y
_atom_site_fract_z
Na1 Na 0.000 0.000 0.500
Al1 Al 0.000 0.000 0.000
In1 In 0.500 0.500 0.500
```

Calculated values
Crystal system: cubic
Size of the total moment, μB per atom: 0.00
E_form, kJ per mole of atoms: 40
Polymorph energy (0 for the lowest one), meV per atom: 0
Total DFT energy (no corrections), eV per atom: -1.6692